! PBE NaPd, optimized geometry; values from VASP
! Total magnetization: 0.00 μB/f.u.
! Formation energy from the elements: 0.286 eV per atom
&SYSTEM
  ibrav = 0, nat = 8, ntyp = 2
/
ATOMIC_SPECIES
Na 22.99 Na.upf
Pd 106.42 Pd.upf
CELL_PARAMETERS angstrom
-2.3069 2.5494 4.3829
0.8007 -4.5716 3.0806
5.0055 1.9052 1.5264
ATOMIC_POSITIONS angstrom
Na 1.4669 -0.4381 5.8958
Na -1.7236 1.2128 4.1384
Na 2.0324 0.3211 3.0941
Na 0.2174 -3.2350 3.3250
Pd -0.4927 -0.6614 2.4412
Pd -1.0136 -1.3608 5.0223
Pd 2.7661 -2.3876 4.0690
Pd 0.7332 2.2706 4.9209